Record 1
The following is a PBE calculation of a geometry-optimized B5Ir5Rh2 structure, from the Alexandria database.

Unit cell a=2.8415 b=5.4809 c=11.2642 alpha=56.43 beta=82.75 gamma=74.98
Sites, in units of the cell vectors:
1 B 0.7000 0.1563 0.4436
2 B 0.8102 0.5198 0.8598
3 B 0.1898 0.4802 0.1402
4 B 0.3000 0.8437 0.5564
5 B 0.0000 0.0000 0.0000
6 Ir 0.0000 0.5000 0.5000
7 Ir 0.6358 0.7645 0.9640
8 Ir 0.3157 0.0325 0.3362
9 Ir 0.6843 0.9675 0.6638
10 Ir 0.3642 0.2355 0.0360
11 Rh 0.4202 0.4144 0.7451
12 Rh 0.5798 0.5856 0.2549

Record 2
The following is a PBE calculation of a geometry-optimized B3IrRh structure, from the Alexandria database.

Calculated values
As for the energy above the most stable polymorph in this dataset: 0 meV/atom.

Unit cell a=4.0332 b=4.0332 c=4.0332 alpha=90.00 beta=90.00 gamma=90.00
Sites, in units of the cell vectors:
1 B 0.0000 0.5000 0.0000
2 B 0.0000 0.0000 0.5000
3 B 0.5000 0.0000 0.0000
4 Ir 0.0000 0.0000 0.0000
5 Rh 0.5000 0.5000 0.5000

Record 3
The following is a PBE calculation of a geometry-optimized BIrRh2 structure, from the Alexandria database.

Unit cell a=6.5591 b=6.5591 c=5.2344 alpha=51.20 beta=51.20 gamma=90.00
Sites, in units of the cell vectors:
1 B 0.5000 0.5000 0.0000
2 B 0.2500 0.7500 0.5000
3 Ir 0.0000 0.0000 0.0000
4 Ir 0.7500 0.2500 0.5000
5 Rh 0.5409 0.1250 0.2500
6 Rh 0.2091 0.6250 0.2500
7 Rh 0.3750 0.4591 0.7500
8 Rh 0.8750 0.7909 0.7500

Record 4
The following is a PBE calculation of a geometry-optimized BIrRh structure, from the Alexandria database.

Unit cell a=3.6271 b=3.5226 c=3.5226 alpha=120.00 beta=90.00 gamma=90.00
Sites, in units of the cell vectors:
1 B 0.1662 0.6667 0.3333
2 Ir 0.1669 0.0000 0.0000
3 Rh 0.6669 0.3333 0.6667

Number 1: formation energy -84 meV per atom, DFT total energy -7.784 eV/atom. Number 2: formation energy 1054 meV per atom, DFT total energy -6.195 eV/atom. Number 3: formation energy 121 meV per atom, DFT total energy -7.440 eV/atom. Number 4: formation energy 100 meV per atom, DFT total energy -7.530 eV/atom.